1.
DFT (PBE) results for an optimized crystal structure of AlNi2H.

```
data_AlNi2H
_chemical_formula_sum 'Al4 Ni8 H4'
_symmetry_space_group_name_H-M 'F m -3 m'
_symmetry_Int_Tables_number 225
_symmetry_space_group_name_Hall '-F 4 2 3'
_cell_length_a 5.4734
_cell_length_b 5.4734
_cell_length_c 5.4734
_cell_angle_alpha 90.00
_cell_angle_beta 90.00
_cell_angle_gamma 90.00
loop_
_atom_site_label
_atom_site_type_symbol
_atom_site_fract_x
_atom_site_fract_y
_atom_site_fract_z
Al1 Al 0.0000 0.0000 0.0000
Ni1 Ni 0.2500 0.2500 0.2500
H1 H 0.0000 0.0000 0.5000
```

=====

2.
DFT (PBE) results for an optimized crystal structure of AlNi3H.

```
data_AlNi3H
_chemical_formula_sum 'Al2 Ni6 H2'
_symmetry_space_group_name_H-M 'P 63/m m c'
_symmetry_Int_Tables_number 194
_symmetry_space_group_name_Hall '-P 6c 2c'
_cell_length_a 3.9945
_cell_length_b 3.9945
_cell_length_c 7.1991
_cell_angle_alpha 90.00
_cell_angle_beta 90.00
_cell_angle_gamma 120.00
loop_
_atom_site_label
_atom_site_type_symbol
_atom_site_fract_x
_atom_site_fract_y
_atom_site_fract_z
Al1 Al 0.3333 0.6667 0.2500
Ni1 Ni 0.0000 0.0000 0.2500
Ni2 Ni 0.3333 0.6667 0.5793
H1 H 0.0000 0.0000 0.0000
```

=====

3.
DFT (PBE) results for an optimized crystal structure of AlNiH3.

```
data_AlNiH3
_chemical_formula_sum 'Al1 Ni1 H3'
_symmetry_space_group_name_H-M 'P m -3 m'
_symmetry_Int_Tables_number 221
_symmetry_space_group_name_Hall '-P 4 2 3'
_cell_length_a 3.3576
_cell_length_b 3.3576
_cell_length_c 3.3576
_cell_angle_alpha 90.00
_cell_angle_beta 90.00
_cell_angle_gamma 90.00
loop_
_atom_site_label
_atom_site_type_symbol
_atom_site_fract_x
_atom_site_fract_y
_atom_site_fract_z
Al1 Al 0.0000 0.0000 0.0000
Ni1 Ni 0.5000 0.5000 0.5000
H1 H 0.0000 0.5000 0.5000
```

=====

4.
DFT (PBE) results for an optimized crystal structure of AlNi3H.

```
data_AlNi3H
_chemical_formula_sum 'Al4 Ni12 H4'
_symmetry_space_group_name_H-M 'C m m m'
_symmetry_Int_Tables_number 65
_symmetry_space_group_name_Hall '-C 2 2'
_cell_length_a 5.1241
_cell_length_b 10.3343
_cell_length_c 3.5916
_cell_angle_alpha 90.00
_cell_angle_beta 90.00
_cell_angle_gamma 90.00
loop_
_atom_site_label
_atom_site_type_symbol
_atom_site_fract_x
_atom_site_fract_y
_atom_site_fract_z
Al1 Al 0.0000 0.1309 0.0000
Ni1 Ni 0.0000 0.3731 0.0000
Ni2 Ni 0.2444 0.0000 0.5000
Ni3 Ni 0.2500 0.2500 0.5000
H1 H 0.0000 0.3752 0.5000
```

=====

5.
DFT (PBE) results for an optimized crystal structure of AlNi3H.

```
data_AlNi3H
_chemical_formula_sum 'Al8 Ni24 H8'
_symmetry_space_group_name_H-M 'C 1 2/c 1'
_symmetry_Int_Tables_number 15
_symmetry_space_group_name_Hall '-C 2yc'
_cell_length_a 8.4215
_cell_length_b 10.1766
_cell_length_c 4.4970
_cell_angle_alpha 90.00
_cell_angle_beta 91.36
_cell_angle_gamma 90.00
loop_
_atom_site_label
_atom_site_type_symbol
_atom_site_fract_x
_atom_site_fract_y
_atom_site_fract_z
Al1 Al 0.1400 0.0736 0.0776
Ni1 Ni 0.1229 0.1790 0.5793
Ni2 Ni 0.1242 0.3102 0.0887
Ni3 Ni 0.1285 0.4354 0.5810
H1 H 0.0000 0.3067 0.7500
H2 H 0.0000 0.4386 0.2500
```

=====

6.
DFT (PBE) results for an optimized crystal structure of AlNi3H.

```
data_AlNi3H
_chemical_formula_sum 'Al2 Ni6 H2'
_symmetry_space_group_name_H-M 'P 63/m m c'
_symmetry_Int_Tables_number 194
_symmetry_space_group_name_Hall '-P 6c 2c'
_cell_length_a 2.7150
_cell_length_b 2.7150
_cell_length_c 15.7703
_cell_angle_alpha 90.00
_cell_angle_beta 90.00
_cell_angle_gamma 120.00
loop_
_atom_site_label
_atom_site_type_symbol
_atom_site_fract_x
_atom_site_fract_y
_atom_site_fract_z
Al1 Al 0.0000 0.0000 0.0000
Ni1 Ni 0.0000 0.0000 0.2500
Ni2 Ni 0.3333 0.6667 0.1197
H1 H 0.3333 0.6667 0.2500
```

=====

7.
DFT (PBE) results for an optimized crystal structure of AlNi3H.

```
data_AlNi3H
_chemical_formula_sum 'Al2 Ni6 H2'
_symmetry_space_group_name_H-M 'P 63/m m c'
_symmetry_Int_Tables_number 194
_symmetry_space_group_name_Hall '-P 6c 2c'
_cell_length_a 5.1066
_cell_length_b 5.1066
_cell_length_c 4.1926
_cell_angle_alpha 90.00
_cell_angle_beta 90.00
_cell_angle_gamma 120.00
loop_
_atom_site_label
_atom_site_type_symbol
_atom_site_fract_x
_atom_site_fract_y
_atom_site_fract_z
Al1 Al 0.3333 0.6667 0.2500
Ni1 Ni 0.1692 0.3384 0.7500
H1 H 0.0000 0.0000 0.0000
```

=====

8.
DFT (PBE) results for an optimized crystal structure of AlNi2H2.

```
data_AlNi2H2
_chemical_formula_sum 'Al2 Ni4 H4'
_symmetry_space_group_name_H-M 'P 4/m b m'
_symmetry_Int_Tables_number 127
_symmetry_space_group_name_Hall '-P 4 2ab'
_cell_length_a 5.1563
_cell_length_b 5.1563
_cell_length_c 3.2500
_cell_angle_alpha 90.00
_cell_angle_beta 90.00
_cell_angle_gamma 90.00
loop_
_atom_site_label
_atom_site_type_symbol
_atom_site_fract_x
_atom_site_fract_y
_atom_site_fract_z
Al1 Al 0.0000 0.0000 0.0000
Ni1 Ni 0.1742 0.3258 0.5000
H1 H 0.1446 0.3554 0.0000
```

=====

9.
DFT (PBE) results for an optimized crystal structure of AlNi3H.

```
data_AlNi3H
_chemical_formula_sum 'Al4 Ni12 H4'
_symmetry_space_group_name_H-M 'P 1 21/c 1'
_symmetry_Int_Tables_number 14
_symmetry_space_group_name_Hall '-P 2ybc'
_cell_length_a 6.8024
_cell_length_b 4.1476
_cell_length_c 9.0802
_cell_angle_alpha 90.00
_cell_angle_beta 131.85
_cell_angle_gamma 90.00
loop_
_atom_site_label
_atom_site_type_symbol
_atom_site_fract_x
_atom_site_fract_y
_atom_site_fract_z
Al1 Al 0.2492 0.2372 0.2984
Ni1 Ni 0.0017 0.2505 0.4178
Ni2 Ni 0.2503 0.7384 0.4564
Ni3 Ni 0.4981 0.2446 0.6659
H1 H 0.2512 0.5409 0.1119
```

=====

10.
DFT (PBE) results for an optimized crystal structure of Al2NiHOs.

```
data_Al2NiHOs
_chemical_formula_sum 'Al2 Ni1 H1 Os1'
_symmetry_space_group_name_H-M 'P 4/m m m'
_symmetry_Int_Tables_number 123
_symmetry_space_group_name_Hall '-P 4 2'
_cell_length_a 4.1488
_cell_length_b 4.1488
_cell_length_c 3.1715
_cell_angle_alpha 90.00
_cell_angle_beta 90.00
_cell_angle_gamma 90.00
loop_
_atom_site_label
_atom_site_type_symbol
_atom_site_fract_x
_atom_site_fract_y
_atom_site_fract_z
Al1 Al 0.0000 0.5000 0.0000
Ni1 Ni 0.0000 0.0000 0.5000
H1 H 0.0000 0.0000 0.0000
Os1 Os 0.5000 0.5000 0.5000
```

=====

11.
DFT (PBE) results for an optimized crystal structure of AlNi2HPd.

```
data_AlNi2HPd
_chemical_formula_sum 'Al1 Ni2 H1 Pd1'
_symmetry_space_group_name_H-M 'P 4/m m m'
_symmetry_Int_Tables_number 123
_symmetry_space_group_name_Hall '-P 4 2'
_cell_length_a 3.6758
_cell_length_b 3.6758
_cell_length_c 3.8907
_cell_angle_alpha 90.00
_cell_angle_beta 90.00
_cell_angle_gamma 90.00
loop_
_atom_site_label
_atom_site_type_symbol
_atom_site_fract_x
_atom_site_fract_y
_atom_site_fract_z
Al1 Al 0.0000 0.0000 0.0000
Ni1 Ni 0.0000 0.5000 0.5000
H1 H 0.5000 0.5000 0.5000
Pd1 Pd 0.5000 0.5000 0.0000
```

=====

12.
DFT (PBE) results for an optimized crystal structure of AlNi2HPd.

```
data_AlNi2HPd
_chemical_formula_sum 'Al1 Ni2 H1 Pd1'
_symmetry_space_group_name_H-M 'P 4/m m m'
_symmetry_Int_Tables_number 123
_symmetry_space_group_name_Hall '-P 4 2'
_cell_length_a 3.6076
_cell_length_b 3.6076
_cell_length_c 4.0208
_cell_angle_alpha 90.00
_cell_angle_beta 90.00
_cell_angle_gamma 90.00
loop_
_atom_site_label
_atom_site_type_symbol
_atom_site_fract_x
_atom_site_fract_y
_atom_site_fract_z
Al1 Al 0.0000 0.0000 0.0000
Ni1 Ni 0.0000 0.5000 0.5000
H1 H 0.0000 0.0000 0.5000
Pd1 Pd 0.5000 0.5000 0.0000
```

=====

| no. | electronic total energy (eV per cell) | Fermi-level density of states (states/eV/f.u.) |
| --- | --- | --- |
| 1 | -71.8 | 3.10 |
| 2 | -49.8 | 1.75 |
| 3 | -18.6 | 1.80 |
| 4 | -105.0 | 2.20 |
| 5 | -206.3 | 2.76 |
| 6 | -50.2 | 3.59 |
| 7 | -52.7 | 2.26 |
| 8 | -45.1 | 1.16 |
| 9 | -104.5 | 2.24 |
| 10 | -29.6 | 1.63 |
| 11 | -26.0 | 0.94 |
| 12 | -25.5 | 2.82 |